{
  "formula": "Ac2ThPdSe5",
  "functional": "PBE",
  "state": "optimized geometry",
  "formation_energy_uncorrected_ev_per_atom": -1.696,
  "spacegroup": "Cmc2_1",
  "total_energy_ry_per_atom": -0.437,
  "dos_ef_per_ev_fu": 0.7,
  "lattice": [[2.122, -8.945, 0.000], [2.122, 8.945, 0.000], [0.000, 0.000, 13.020]],
  "species": ["Ac", "Ac", "Ac", "Ac", "Th", "Th", "Pd", "Pd", "Se", "Se", "Se", "Se", "Se", "Se", "Se", "Se", "Se", "Se"],
  "frac_coords": [[0.107, 0.893, 0.500], [0.121, 0.879, 0.849], [0.879, 0.121, 0.349], [0.893, 0.107, 0.000], [0.174, 0.826, 0.169], [0.826, 0.174, 0.669], [0.434, 0.566, 0.575], [0.566, 0.434, 0.075], [0.015, 0.985, 0.175], [0.299, 0.701, 0.509], [0.307, 0.693, 0.831], [0.342, 0.658, 0.171], [0.498, 0.502, 0.899], [0.502, 0.498, 0.399], [0.658, 0.342, 0.671], [0.693, 0.307, 0.331], [0.701, 0.299, 0.009], [0.985, 0.015, 0.675]]
}

=====

{
  "formula": "K7Tl2Au2",
  "functional": "PBE",
  "state": "optimized geometry",
  "e_form_ev_per_atom": -0.123,
  "spacegroup": "Cmmm",
  "total_energy_ry_per_atom": -0.136,
  "dos_ef_per_ev_fu": 5.9,
  "lattice": [[4.771, -6.367, 0.000], [4.771, 6.367, 0.000], [0.000, 0.000, 8.241]],
  "species": ["K", "K", "K", "K", "K", "K", "K", "Tl", "Tl", "Au", "Au"],
  "frac_coords": [[0.000, 0.000, 0.000], [0.000, 0.500, 0.268], [0.000, 0.500, 0.732], [0.500, 0.000, 0.268], [0.500, 0.000, 0.732], [0.500, 0.500, 0.254], [0.500, 0.500, 0.746], [0.152, 0.152, 0.500], [0.848, 0.848, 0.500], [0.294, 0.706, 0.000], [0.706, 0.294, 0.000]]
}

=====

{
  "formula": "YSbTe2O",
  "functional": "PBE",
  "state": "optimized geometry",
  "formation_energy_uncorrected_ev_per_atom": 0.576,
  "spacegroup": "P4/mmm",
  "e_above_lowest_polymorph_ev_per_atom": 1.127,
  "total_energy_ry_per_atom": -0.279,
  "dos_ef_per_ev_fu": 10.0,
  "lattice": [[5.765, 0.000, 0.000], [0.000, 5.765, 0.000], [0.000, 0.000, 5.910]],
  "species": ["Y", "Sb", "Te", "Te", "O"],
  "frac_coords": [[0.000, 0.000, 0.000], [0.000, 0.000, 0.500], [0.000, 0.500, 0.000], [0.500, 0.000, 0.000], [0.500, 0.500, 0.500]]
}

=====

{
  "formula": "TaTlSb",
  "functional": "PBE",
  "state": "optimized geometry",
  "formation_energy_uncorrected_ev_per_atom": 0.342,
  "spacegroup": "I4mm",
  "e_above_lowest_polymorph_ev_per_atom": 0.000,
  "total_energy_ry_per_atom": -0.424,
  "dos_ef_per_ev_fu": 1.3,
  "lattice": [[3.624, 0.000, 0.000], [0.000, 3.624, 0.000], [0.000, 0.000, 10.218]],
  "species": ["Ta", "Ta", "Tl", "Tl", "Sb", "Sb"],
  "frac_coords": [[0.000, 0.000, 0.000], [0.500, 0.500, 0.500], [0.000, 0.000, 0.318], [0.500, 0.500, 0.818], [0.000, 0.000, 0.626], [0.500, 0.500, 0.126]]
}